9
Lattice="5.102 0.000 0.000 -2.551 4.418 0.000 0.000 0.000 5.390" Properties=species:S:1:pos:R:3 comment="PBE+U SrCoReO6, optimized geometry" energy_ev_per_cell=-64.9 rho_g_cm3=5.9 pbc="T T T"
Sr 0.000 0.000 0.000
Co 0.000 2.945 2.695
Re 2.551 1.473 2.695
O 1.955 0.013 3.758
O 0.989 1.687 1.633
O 3.146 0.013 1.633
O 1.584 2.718 3.758
O 4.113 1.687 3.758
O 3.517 2.718 1.633